No. 1
Crystalline LiHfTe3Au at its relaxed geometry. Source: OQMD, functional PBE.

Computed properties:
**Energy**: -4.712 eV/atom
**Energy above the most stable polymorph in this dataset**: 33 meV/atom
**Theoretical density**: 7.8 g/cm³

Cell lengths 4.027, 14.822, 10.877 Å; angles 90.00, 90.00, 90.00 degrees
Space group Cmcm (No. 63)
Unique sites:
Li 0.000 0.166 0.250 (multiplicity 4)
Hf 0.000 0.000 0.000 (multiplicity 4)
Te 0.000 0.092 0.750 (multiplicity 4)
Te 0.000 0.360 0.544 (multiplicity 8)
Au 0.000 0.465 0.750 (multiplicity 4)

=====

No. 2
Crystalline Lu2Hf4Au3N3 at its relaxed geometry. Source: OQMD, functional PBE.

Computed properties:
**Energy**: -8.126 eV/atom
**Theoretical density**: 14.2 g/cm³

Cell lengths 9.883, 5.712, 14.454 Å; angles 90.00, 103.36, 90.00 degrees
Space group C2/c (No. 15)
Unique sites:
Lu 0.045 0.083 0.389 (multiplicity 8)
Hf 0.110 0.410 0.583 (multiplicity 8)
Hf 0.226 0.419 0.917 (multiplicity 8)
Au 0.000 0.490 0.750 (multiplicity 4)
Au 0.212 0.126 0.751 (multiplicity 8)
N 0.084 0.251 0.000 (multiplicity 8)
N 0.250 0.250 0.500 (multiplicity 4)

=====

No. 3
Crystalline Lu4Hf2Au3N3 at its relaxed geometry. Source: OQMD, functional PBE.

Computed properties:
**Energy**: -7.217 eV/atom
**Theoretical density**: 13.5 g/cm³

Cell lengths 10.130, 5.860, 14.427 Å; angles 90.00, 103.60, 90.00 degrees
Space group C2/c (No. 15)
Unique sites:
Lu 0.117 0.079 0.100 (multiplicity 8)
Lu 0.214 0.087 0.400 (multiplicity 8)
Hf 0.059 0.413 0.918 (multiplicity 8)
Au 0.000 0.120 0.750 (multiplicity 4)
Au 0.148 0.437 0.249 (multiplicity 8)
N 0.079 0.263 0.500 (multiplicity 8)
N 0.250 0.250 0.000 (multiplicity 4)

=====

No. 4
Crystalline Hf2MoAu4 at its relaxed geometry. Source: OQMD, functional PBE.

Computed properties:
**DFT formation energy**: -1.5 eV/f.u.
**Energy**: -6.478 eV/atom
**Theoretical density**: 16.0 g/cm³

Cell lengths 6.991, 7.838, 4.918 Å; angles 90.00, 106.57, 90.00 degrees
Space group C2/m (No. 12)
Unique sites:
Hf 0.228 0.000 0.121 (multiplicity 4)
Mo 0.000 0.000 0.500 (multiplicity 2)
Au 0.104 0.322 0.288 (multiplicity 8)

=====

What is the energy in the fourth record? -6.478 eV/atom

=====

Look up the theoretical density of the first one. 7.8 g/cm³

=====

The highest energy belongs to which entry? LiHfTe3Au

=====

What is the formula in the first record? LiHfTe3Au